Record 1
DFT (PBE) results for a geometry-optimized Be2CrW structure.

POSCAR file:
```
Be2CrW
1.0
-2.854 1.169 1.706
0.290 -1.837 1.744
3.092 1.759 3.967
Cr W Be
1 1 2
Cartesian
-0.582 0.565 2.281
1.109 0.526 5.136
0.366 -1.762 1.819
1.615 -0.115 2.780
```

Summary:
- M_tot: 0.000 μB per formula unit
- Theoretical density: 9.350 g cm⁻³
- Space group: No. 10
- Electronic total energy: -7.367 eV per atom

---

Record 2
DFT (PBE) results for a geometry-optimized MnNb2IrN structure.

POSCAR file:
```
MnNb2IrN
1.0
4.243 0.000 0.000
0.000 4.243 0.000
0.000 0.000 3.851
Nb Ir Mn N
2 1 1 1
Cartesian
0.000 2.121 0.000
2.121 0.000 0.000
2.121 2.121 1.925
0.000 0.000 1.925
0.000 0.000 0.000
```

Summary:
- M_tot: 2.049 μB per formula unit
- Theoretical density: 10.707 g cm⁻³
- Space group: No. 123
- Formation energy (no corrections): -547 meV per atom

---

> Which formula does entry 1 have?

Be2CrW

---

> Among the records above, which one has the highest M_tot?

MnNb2IrN